First-principles (PBE) data for a geometry-optimized Ni3AsP structure, as listed in Alexandria.

Cell: 4.189 4.189 4.189 Å, 90.00 90.00 90.00°
Positions (direct):
Ni (0.000, 0.000, 0.500)
Ni (0.000, 0.500, 0.000)
Ni (0.500, 0.000, 0.000)
As (0.500, 0.500, 0.500)
P (0.000, 0.000, 0.000)

Properties
The value obtained for the total energy is -5.36 eV/atom. For the density, the calculation gives 6.4 Mg/m³.

First-principles (PBE) data for a geometry-optimized Ni2AsP structure, as listed in Alexandria.

Cell: 6.627 6.627 6.627 Å, 156.64 150.91 37.64°
Positions (direct):
Ni (0.000, 0.000, 0.000)
Ni (0.706, 0.206, 0.500)
As (0.315, 0.815, 0.500)
P (0.562, 0.562, 0.000)

Properties
The value obtained for the total energy is -5.56 eV/atom. For the density, the calculation gives 6.6 Mg/m³.

First-principles (PBE) data for a geometry-optimized Ni2AsP2 structure, as listed in Alexandria.

Cell: 7.102 7.102 2.681 Å, 90.00 90.00 90.00°
Positions (direct):
Ni (0.124, 0.376, 0.000)
Ni (0.376, 0.876, 0.000)
Ni (0.624, 0.124, 0.000)
Ni (0.876, 0.624, 0.000)
As (0.000, 0.000, 0.500)
As (0.500, 0.500, 0.500)
P (0.158, 0.658, 0.500)
P (0.342, 0.158, 0.500)
P (0.658, 0.842, 0.500)
P (0.842, 0.342, 0.500)

Properties
The value obtained for the total energy is -5.30 eV/atom. For the density, the calculation gives 6.2 Mg/m³.

First-principles (PBE) data for a geometry-optimized Ni7AsP2 structure, as listed in Alexandria.

Cell: 9.198 9.198 9.198 Å, 157.01 157.01 32.73°
Positions (direct):
Ni (0.000, 0.000, 0.000)
Ni (0.102, 0.602, 0.500)
Ni (0.250, 0.750, 0.500)
Ni (0.398, 0.898, 0.500)
Ni (0.602, 0.102, 0.500)
Ni (0.750, 0.250, 0.500)
Ni (0.898, 0.398, 0.500)
As (0.500, 0.500, 0.000)
P (0.173, 0.173, 0.000)
P (0.827, 0.827, 0.000)

Properties
The value obtained for the total energy is -5.97 eV/atom. For the density, the calculation gives 7.7 Mg/m³.

First-principles (PBE) data for a geometry-optimized NiAsP structure, as listed in Alexandria.

Cell: 4.079 4.079 4.079 Å, 60.00 60.00 60.00°
Positions (direct):
Ni (0.000, 0.000, 0.000)
As (0.500, 0.500, 0.500)
P (0.250, 0.250, 0.250)

Properties
The value obtained for the total energy is -5.02 eV/atom. For the density, the calculation gives 5.7 Mg/m³.

First-principles (PBE) data for a geometry-optimized Ni2AsP structure, as listed in Alexandria.

Cell: 2.812 2.812 6.589 Å, 90.00 90.00 90.00°
Positions (direct):
Ni (0.000, 0.000, 0.202)
Ni (0.000, 0.000, 0.798)
As (0.500, 0.500, 0.500)
P (0.500, 0.500, 0.000)

Properties
The value obtained for the total energy is -5.47 eV/atom. For the density, the calculation gives 7.1 Mg/m³.

First-principles (PBE) data for a geometry-optimized NiAsP structure, as listed in Alexandria.

Cell: 5.956 5.956 5.956 Å, 154.47 148.38 41.08°
Positions (direct):
Ni (0.000, 0.000, 0.000)
As (0.641, 0.641, 0.000)
P (0.394, 0.394, 0.000)

Properties
The value obtained for the total energy is -5.25 eV/atom. For the density, the calculation gives 5.7 Mg/m³.

First-principles (PBE) data for a geometry-optimized Ni2AsP structure, as listed in Alexandria.

Cell: 6.954 6.954 6.954 Å, 26.01 26.01 26.01°
Positions (direct):
Ni (0.000, 0.000, 0.000)
Ni (0.240, 0.240, 0.240)
As (0.502, 0.502, 0.502)
P (0.726, 0.726, 0.726)

Properties
The value obtained for the total energy is -5.43 eV/atom. For the density, the calculation gives 6.5 Mg/m³.

First-principles (PBE) data for a geometry-optimized NiAsP structure, as listed in Alexandria.

Cell: 3.902 5.101 5.930 Å, 75.36 71.54 67.84°
Positions (direct):
Ni (0.139, 0.063, 0.157)
Ni (0.861, 0.937, 0.843)
As (0.163, 0.680, 0.496)
As (0.837, 0.320, 0.504)
P (0.427, 0.723, 0.926)
P (0.573, 0.277, 0.074)

Properties
The value obtained for the total energy is -5.44 eV/atom. For the density, the calculation gives 5.3 Mg/m³.

First-principles (PBE) data for a geometry-optimized Ni2AsP structure, as listed in Alexandria.

Cell: 4.210 4.210 4.210 Å, 60.00 60.00 60.00°
Positions (direct):
Ni (0.000, 0.000, 0.000)
Ni (0.250, 0.250, 0.250)
As (0.500, 0.500, 0.500)
P (0.750, 0.750, 0.750)

Properties
The value obtained for the total energy is -5.10 eV/atom. For the density, the calculation gives 7.0 Mg/m³.

First-principles (PBE) data for a geometry-optimized NiAsP structure, as listed in Alexandria.

Cell: 4.122 4.122 4.775 Å, 100.83 100.83 40.27°
Positions (direct):
Ni (0.000, 0.000, 0.000)
As (0.063, 0.063, 0.513)
P (0.278, 0.278, 0.919)

Properties
The value obtained for the total energy is -5.31 eV/atom. For the density, the calculation gives 5.3 Mg/m³.

First-principles (PBE) data for a geometry-optimized NiAsP structure, as listed in Alexandria.

Cell: 3.769 3.769 5.260 Å, 96.26 96.26 42.30°
Positions (direct):
Ni (0.000, 0.000, 0.000)
As (0.704, 0.704, 0.712)
P (0.730, 0.730, 0.200)

Properties
The value obtained for the total energy is -5.33 eV/atom. For the density, the calculation gives 5.5 Mg/m³.

| no. | energy of formation (eV per atom) |
| --- | --- |
| 1 | 0.120 |
| 2 | -0.157 |
| 3 | 0.110 |
| 4 | -0.381 |
| 5 | 0.264 |
| 6 | -0.065 |
| 7 | 0.031 |
| 8 | -0.023 |
| 9 | -0.160 |
| 10 | 0.310 |
| 11 | -0.026 |
| 12 | -0.051 |